A plane-wave DFT calculation with GGA-PBE was carried out for crystalline TaAgW2 at its relaxed geometry.

Computed properties:
The polymorph energy (0 for the lowest one) is 66.7 kJ/mol of formula units. The density of states at the Fermi level comes out at 1.0144 states/eV/atom.

Lattice parameters (Å, degrees): 5.354 5.463 2.724 80.18 80.74 116.73
Fractional positions:
Ag: 0.000 0.500 0.500
W: 0.000 0.000 0.000
W: 0.500 0.000 0.500
Ta: 0.500 0.500 0.000

=====

A plane-wave DFT calculation with GGA-PBE was carried out for crystalline YMgTl2 at its relaxed geometry.

Computed properties:
For the calculated total energy, the calculation gives -13.64 eV/cell. The density of states at the Fermi level comes out at 0.7670 states/eV/atom.

Lattice parameters (Å, degrees): 5.272 5.272 5.272 60.00 60.00 60.00
Fractional positions:
Y: 0.250 0.250 0.250
Tl: 0.000 0.000 0.000
Tl: 0.500 0.500 0.500
Mg: 0.750 0.750 0.750